1.
Below is a relaxed NaTl3Sn crystal, with properties calculated at the PBE-GGA level.

Lattice parameters (Å, degrees): 5.5520 5.5520 5.5520 90.00 90.00 90.00
Closest atoms and distances in Å follow each position.
Positions (direct):
1 Tl 0.5000 0.0000 0.0000  2 Na 2.78
2 Tl 0.0000 0.5000 0.0000  2 Na 2.78
3 Tl 0.0000 0.0000 0.5000  2 Na 2.78
4 Sn 0.5000 0.5000 0.5000  12 Tl 3.93
5 Na 0.0000 0.0000 0.0000  6 Tl 2.78

Values from the calculation:
* theoretical density: 7324 kg/m3
* energy of formation: 36.9 kJ per mole of atoms
* electronic total energy: -10.51 eV/cell

2.
Below is a relaxed Sc2CrHg crystal, with properties calculated at the PBE-GGA level.

Lattice parameters (Å, degrees): 5.4931 5.4931 4.9423 74.31 74.31 35.22
Closest atoms and distances in Å follow each position.
Positions (direct):
1 Hg 0.2387 0.2387 0.2267  2 Cr 2.95, 7 Sc 2.96-3.03
2 Cr 0.5102 0.5102 0.5322  7 Sc 2.94-3.03, 2 Hg 2.95
3 Sc 0.7626 0.7626 0.7061  4 Hg 2.96-3.01, 3 Cr 2.99-3.00, 3 Sc 3.23-3.32
4 Sc 0.9885 0.9885 0.0349  4 Cr 2.94-3.03, 3 Hg 3.02-3.03, 1 Sc 3.23

Values from the calculation:
* theoretical density: 6896 kg/m3
* energy of formation: 2.7 kJ per mole of atoms
* electronic total energy: -22.48 eV/cell

3.
Below is a relaxed Fe2AsHSe crystal, with properties calculated at the PBE-GGA level.

Lattice parameters (Å, degrees): 4.1351 3.6962 4.1351 90.00 90.00 90.00
Closest atoms and distances in Å follow each position.
Positions (direct):
1 Fe 0.5000 0.0000 0.0000  2 H 2.07
2 Fe 0.0000 0.0000 0.5000  2 H 2.07
3 H 0.0000 0.0000 0.0000  2 As 1.85, 4 Fe 2.07
4 As 0.0000 0.5000 0.0000  2 H 1.85
5 Se 0.5000 0.5000 0.5000  8 Fe 2.77, 4 As 2.92

Values from the calculation:
* theoretical density: 7004 kg/m3
* electronic total energy: -25.60 eV/cell

Question: The lowest electronic total energy belongs to which entry?
Answer: Fe2AsHSe

Question: Look up the electronic total energy of the second one.
Answer: -22.48 eV/cell

Question: Which of these has the lowest theoretical density?
Answer: Sc2CrHg

Copy entry 1 word for word.
Below is a relaxed NaTl3Sn crystal, with properties calculated at the PBE-GGA level.

Lattice parameters (Å, degrees): 5.5520 5.5520 5.5520 90.00 90.00 90.00
Closest atoms and distances in Å follow each position.
Positions (direct):
1 Tl 0.5000 0.0000 0.0000  2 Na 2.78
2 Tl 0.0000 0.5000 0.0000  2 Na 2.78
3 Tl 0.0000 0.0000 0.5000  2 Na 2.78
4 Sn 0.5000 0.5000 0.5000  12 Tl 3.93
5 Na 0.0000 0.0000 0.0000  6 Tl 2.78

Values from the calculation:
* theoretical density: 7324 kg/m3
* energy of formation: 36.9 kJ per mole of atoms
* electronic total energy: -10.51 eV/cell